# 1
Here is an optimized crystal structure of ZnCuBr from Alexandria via LeMat-Bulk. Energies are from PBE.

Lattice parameters (Å, degrees): 6.6368 6.0634 3.6388 82.24 64.86 32.91
Last column: nearest neighbours and their distance in Å.
Element x y z (fractional)
Br: 0.9916 0.9916 0.0084  2 Cu 2.57, 2 Zn 2.79
Cu: 0.3283 0.3283 0.6717  2 Zn 2.44, 2 Br 2.57
Zn: 0.6801 0.6801 0.3199  2 Cu 2.44

## Properties
* offset from the most stable computed form: 117 meV/atom
* crystal system: orthorhombic
* space-group type: Fmm2 (42)

***

# 2
Here is an optimized crystal structure of HgSNCl2 from Alexandria via LeMat-Bulk. Energies are from PBE.

Lattice parameters (Å, degrees): 5.3137 5.3137 5.1195 90.00 90.00 90.00
Last column: nearest neighbours and their distance in Å.
Element x y z (fractional)
S: 0.0000 0.0000 0.5000  2 Hg 2.56
N: 0.5000 0.5000 0.5000  8 Cl 3.69, 4 S 3.76
Hg: 0.0000 0.0000 0.0000  2 S 2.56, 4 Cl 2.66
Cl: 0.0000 0.5000 0.0000  2 Hg 2.66
Cl: 0.5000 0.0000 0.0000  2 Hg 2.66

## Properties
* offset from the most stable computed form: 333 meV/atom
* crystal system: tetragonal
* space-group type: P4/mmm (123)

***

# 3
Here is an optimized crystal structure of MgVNiPt from Alexandria via LeMat-Bulk. Energies are from PBE.

Lattice parameters (Å, degrees): 4.3221 4.3221 4.3221 60.00 60.00 60.00
Last column: nearest neighbours and their distance in Å.
Element x y z (fractional)
Ni: 0.2500 0.2500 0.2500  4 Mg 2.65, 4 V 2.65
Mg: 0.0000 0.0000 0.0000  4 Ni 2.65, 4 Pt 2.65
Pt: 0.7500 0.7500 0.7500  4 V 2.65, 4 Mg 2.65
V: 0.5000 0.5000 0.5000  4 Pt 2.65, 4 Ni 2.65

## Properties
* energy of formation: -1.26 eV per formula unit
* crystal system: cubic
* space-group type: F-43m (216)

***

# 4
Here is an optimized crystal structure of Rb2HgGe from Alexandria via LeMat-Bulk. Energies are from PBE.

Lattice parameters (Å, degrees): 6.1570 6.1570 6.1570 60.00 60.00 60.00
Last column: nearest neighbours and their distance in Å.
Element x y z (fractional)
Ge: 0.0000 0.0000 0.0000  8 Rb 3.77
Hg: 0.5000 0.5000 0.5000  8 Rb 3.77
Rb: 0.2500 0.2500 0.2500  4 Ge 3.77, 4 Hg 3.77
Rb: 0.7500 0.7500 0.7500  4 Hg 3.77, 4 Ge 3.77

## Properties
* offset from the most stable computed form: 280 meV/atom
* energy of formation: 0.46 eV per formula unit
* crystal system: cubic
* space-group type: Fm-3m (225)

***

Number 1: magnetization 0.0000 μB/atom, N(E_F) 0.259 states/eV per atom. Number 2: magnetization 0.9302 μB/atom, N(E_F) 0.728 states/eV per atom. Number 3: magnetization 0.3088 μB/atom, N(E_F) 1.102 states/eV per atom. Number 4: magnetization 0.5000 μB/atom, N(E_F) 0.965 states/eV per atom.